Entry 1:
The following is a DFT calculation (PBE) of a relaxed UPd6Pt8 crystal.

Cell and atoms, written as CIF:
```
data_UPd6Pt8
_chemical_formula_sum 'U1 Pd6 Pt8'
_space_group_name_H-M_alt 'P 1'
_space_group_IT_number 1
_cell_length_a 7.669
_cell_length_b 7.669
_cell_length_c 4.980
_cell_angle_alpha 90.00
_cell_angle_beta 90.00
_cell_angle_gamma 120.00
loop_
_space_group_symop_operation_xyz
'x,y,z'
loop_
_atom_site_label
_atom_site_type_symbol
_atom_site_fract_x
_atom_site_fract_y
_atom_site_fract_z
U1 U 0.000 0.000 0.000
Pd1 Pd 0.111 0.466 0.821
Pd2 Pd 0.355 0.889 0.821
Pd3 Pd 0.466 0.355 0.179
Pd4 Pd 0.534 0.645 0.821
Pd5 Pd 0.645 0.111 0.179
Pd6 Pd 0.889 0.534 0.179
Pt1 Pt 0.040 0.286 0.330
Pt2 Pt 0.245 0.960 0.330
Pt3 Pt 0.286 0.245 0.670
Pt4 Pt 0.333 0.667 0.306
Pt5 Pt 0.667 0.333 0.694
Pt6 Pt 0.714 0.755 0.330
Pt7 Pt 0.755 0.040 0.670
Pt8 Pt 0.960 0.714 0.670
```

Values from the calculation:
Energy   -92.9 eV per cell
Total magnetic moment   0.000 μB/f.u.
Theoretical density   15.96 g/cm3
DOS(E_F)   1.190 states/eV/atom
Crystal system   trigonal
E_form   -0.140 eV/atom

***

Entry 2:
The following is a DFT calculation (PBE) of a relaxed UPd7Pt4 crystal.

Cell and atoms, written as CIF:
```
data_UPd7Pt4
_chemical_formula_sum 'U1 Pd7 Pt4'
_space_group_name_H-M_alt 'P 1'
_space_group_IT_number 1
_cell_length_a 4.942
_cell_length_b 5.671
_cell_length_c 7.452
_cell_angle_alpha 68.03
_cell_angle_beta 89.36
_cell_angle_gamma 89.48
loop_
_space_group_symop_operation_xyz
'x,y,z'
loop_
_atom_site_label
_atom_site_type_symbol
_atom_site_fract_x
_atom_site_fract_y
_atom_site_fract_z
U1 U 0.000 0.000 0.000
Pd1 Pd 0.000 0.500 0.000
Pd2 Pd 0.169 0.086 0.332
Pd3 Pd 0.334 0.665 0.665
Pd4 Pd 0.498 0.746 0.999
Pd5 Pd 0.502 0.254 0.001
Pd6 Pd 0.666 0.335 0.335
Pd7 Pd 0.831 0.914 0.668
Pt1 Pt 0.164 0.588 0.330
Pt2 Pt 0.332 0.163 0.676
Pt3 Pt 0.668 0.837 0.324
Pt4 Pt 0.836 0.412 0.670
```

Values from the calculation:
Energy   -75.5 eV per cell
Total magnetic moment   0.000 μB/f.u.
Theoretical density   15.12 g/cm3
DOS(E_F)   0.976 states/eV/atom
Crystal system   triclinic
E_form   -0.305 eV/atom

***

Entry 3:
The following is a DFT calculation (PBE) of a relaxed UPd6Pt23 crystal.

Cell and atoms, written as CIF:
```
data_UPd6Pt23
_chemical_formula_sum 'U1 Pd6 Pt23'
_space_group_name_H-M_alt 'P 1'
_space_group_IT_number 1
_cell_length_a 9.638
_cell_length_b 9.638
_cell_length_c 9.638
_cell_angle_alpha 131.44
_cell_angle_beta 131.44
_cell_angle_gamma 71.11
loop_
_space_group_symop_operation_xyz
'x,y,z'
loop_
_atom_site_label
_atom_site_type_symbol
_atom_site_fract_x
_atom_site_fract_y
_atom_site_fract_z
U1 U 0.000 0.000 0.000
Pd1 Pd 0.249 0.249 0.000
Pd2 Pd 0.249 0.249 0.499
Pd3 Pd 0.249 0.751 0.000
Pd4 Pd 0.751 0.249 0.000
Pd5 Pd 0.751 0.751 0.000
Pd6 Pd 0.751 0.751 0.501
Pt1 Pt 0.000 0.000 0.500
Pt2 Pt 0.000 0.500 0.000
Pt3 Pt 0.000 0.500 0.500
Pt4 Pt 0.121 0.372 0.749
Pt5 Pt 0.129 0.386 0.257
Pt6 Pt 0.129 0.871 0.257
Pt7 Pt 0.129 0.871 0.743
Pt8 Pt 0.372 0.121 0.749
Pt9 Pt 0.372 0.622 0.251
Pt10 Pt 0.378 0.628 0.749
Pt11 Pt 0.386 0.129 0.257
Pt12 Pt 0.500 0.000 0.000
Pt13 Pt 0.500 0.000 0.500
Pt14 Pt 0.500 0.500 0.000
Pt15 Pt 0.500 0.500 0.500
Pt16 Pt 0.614 0.871 0.743
Pt17 Pt 0.622 0.372 0.251
Pt18 Pt 0.628 0.378 0.749
Pt19 Pt 0.628 0.879 0.251
Pt20 Pt 0.871 0.129 0.257
Pt21 Pt 0.871 0.129 0.743
Pt22 Pt 0.871 0.614 0.743
Pt23 Pt 0.879 0.628 0.251
```

Values from the calculation:
Energy   -184.7 eV per cell
Total magnetic moment   0.000 μB/f.u.
Theoretical density   18.08 g/cm3
DOS(E_F)   1.629 states/eV/atom
Crystal system   tetragonal
E_form   -0.111 eV/atom